ZrRh | Alexandria | PBE-GGA | relaxed; crystal system = cubic; E_form = -0.77 eV per atom; N(E_F) = 0.48 states/eV per atom; mass density = 8.97 g/cm³
1.0
3.299 0.000 0.000
0.000 3.299 0.000
0.000 0.000 3.299
Zr Rh
1 1
Direct
0.000 0.000 0.000 Zr
0.500 0.500 0.500 Rh

***

CdIn5 | Alexandria | PBE-GGA | relaxed; crystal system = orthorhombic; E_form = 0.02 eV per atom; N(E_F) = 0.39 states/eV per atom; mass density = 7.22 g/cm³
1.0
2.399 -7.007 0.000
2.399 7.007 0.000
0.000 0.000 4.694
Cd In
1 5
Direct
0.000 0.000 0.000 Cd
0.164 0.836 0.500 In
0.336 0.664 0.000 In
0.500 0.500 0.500 In
0.664 0.336 0.000 In
0.836 0.164 0.500 In

***

VRhPb2 | Alexandria | PBE-GGA | relaxed; offset from the most stable computed form = 0.0 kJ/mol of atoms; crystal system = cubic; E_form = 0.28 eV per atom; N(E_F) = 0.45 states/eV per atom; mass density = 11.85 g/cm³
1.0
0.000 3.415 3.415
3.415 0.000 3.415
3.415 3.415 0.000
V Rh Pb
1 1 2
Direct
0.000 0.000 0.000 V
0.500 0.500 0.500 Rh
0.250 0.250 0.250 Pb
0.750 0.750 0.750 Pb

***

Tb4Sm4Dy3 | Alexandria | PBE-GGA | relaxed; crystal system = triclinic; E_form = 0.06 eV per atom; N(E_F) = 1.67 states/eV per atom; mass density = 8.04 g/cm³
1.0
3.529 0.000 0.000
-0.001 5.655 0.000
-1.760 -2.824 17.855
Tb Sm Dy
4 4 3
Direct
0.045 0.046 0.091 Tb
0.180 0.680 0.361 Tb
0.820 0.320 0.639 Tb
0.955 0.954 0.909 Tb
0.090 0.591 0.181 Sm
0.233 0.233 0.465 Sm
0.767 0.767 0.535 Sm
0.910 0.409 0.819 Sm
0.364 0.864 0.728 Dy
0.500 0.500 0.000 Dy
0.636 0.136 0.272 Dy

***

LiLaBe3 | Alexandria | PBE-GGA | relaxed; offset from the most stable computed form = 116.2 kJ/mol of atoms; crystal system = cubic; E_form = 1.71 eV per atom; N(E_F) = 0.99 states/eV per atom; mass density = 1.90 g/cm³
1.0
5.330 0.000 0.000
0.000 5.330 0.000
0.000 0.000 5.330
Li La Be
1 1 3
Direct
0.000 0.000 0.000 Li
0.500 0.500 0.500 La
0.000 0.500 0.500 Be
0.500 0.000 0.500 Be
0.500 0.500 0.000 Be

***

TiCdSeBr2 | Alexandria | PBE-GGA | relaxed; offset from the most stable computed form = 0.0 kJ/mol of atoms; crystal system = tetragonal; formation energy (no corrections) = -0.567 eV/atom; N(E_F) = 0.82 states/eV per atom; mass density = 4.94 g/cm³
1.0
5.197 0.000 0.000
0.000 5.197 0.000
0.000 0.000 4.970
Ti Cd Se Br
1 1 1 2
Direct
0.000 0.000 0.000 Ti
0.500 0.500 0.500 Cd
0.000 0.000 0.500 Se
0.000 0.500 0.000 Br
0.500 0.000 0.000 Br